Entry 1:
The following is a DFT calculation (PBE-GGA) of Ba2CuOs after structural relaxation.

V   453.05 Å³/cell
Energy   -4.088 eV per atom
Offset from the most stable computed form   0.306 eV per atom
Formation energy   704.9 meV per atom

Unit cell a=7.6804 b=7.6804 c=7.6804 alpha=90.00 beta=90.00 gamma=90.00
Space group Fm-3m (No. 225)
One atom of each set of equivalent atoms:
Ba 0.2500 0.2500 0.2500 x8
Cu 0.0000 0.0000 0.0000 x4
Os 0.0000 0.0000 0.5000 x4


Entry 2:
The following is a DFT calculation (PBE-GGA) of LaPm3Dy7 after structural relaxation.

V   369.10 Å³/cell
Energy   -4.532 eV per atom
Offset from the most stable computed form   0.000 eV per atom
Formation energy   140.1 meV per atom

Unit cell a=7.0050 b=5.5788 c=10.0297 alpha=90.00 beta=109.67 gamma=90.00
Space group P2/m (No. 10)
One atom of each set of equivalent atoms:
La 0.0000 0.0000 0.0000 x1
Pm 0.2816 0.5000 0.4981 x2
Pm 0.5000 0.0000 0.0000 x1
Dy 0.0000 0.0000 0.5000 x1
Dy 0.1446 0.5000 0.7882 x2
Dy 0.3236 0.5000 0.1402 x2
Dy 0.4211 0.0000 0.3305 x2